Compound: LiCuBr
Source: Alexandria
Functional: PBE
Structure: relaxed

Lattice parameters (Å, degrees): 3.6517 3.6517 10.1276 90.00 90.00 120.00
Closest atoms and distances in Å follow each position.
Atoms (fractional coordinates):
Cu: 0.6113 0.2226 0.0000  6 Br 2.72
Cu: 0.2778 0.5555 0.5000  6 Li 2.70
Br: 0.2777 0.5554 0.8304  3 Li 2.68, 3 Cu 2.72
Li: 0.6111 0.2221 0.6670  3 Br 2.68, 3 Cu 2.70
Br: 0.2777 0.5554 0.1696  3 Li 2.68, 3 Cu 2.72
Li: 0.6111 0.2221 0.3330  3 Br 2.68, 3 Cu 2.70

Calculated values
Total magnetic moment: 0.0 μB per formula unit
Excess energy over the best structure of this formula in the dataset: 0.00 eV/f.u.
Raw formation energy: -0.863 eV/f.u.
Volume: 116.96 Å³ per cell
Space group: No. 187